Here is LaDyHo after structural relaxation from OQMD. Energies are from GGA-PBE.

Structure (POSCAR):
```
LaDyHo
1.0
0.0000 3.8852 3.8852
3.8852 0.0000 3.8852
3.8852 3.8852 0.0000
La Dy Ho
1 1 1
Direct
0.0000 0.0000 0.0000
0.5000 0.5000 0.5000
0.7500 0.7500 0.7500
```

Results
E_tot = -4.005 eV/atom
space group = No. 216
offset from the most stable computed form = 0.000 eV per atom
calculated formation energy = 0.70 eV per atom
crystal system = cubic
V = 117 Å³ per cell

---

Here is Li3DyHo2Pb3 after structural relaxation from OQMD. Energies are from GGA-PBE.

Structure (POSCAR):
```
Li3DyHo2Pb3
1.0
4.7782 0.0000 0.0000
-2.3891 4.1380 0.0000
0.0000 0.0000 10.8157
Li Dy Ho Pb
3 1 2 3
Direct
0.0000 0.0000 0.0000
0.3333 0.6667 0.3107
0.3333 0.6667 0.6893
0.6667 0.3333 0.5000
0.6667 0.3333 0.1646
0.6667 0.3333 0.8354
0.0000 0.0000 0.3274
0.0000 0.0000 0.6726
0.3333 0.6667 0.0000
```

Results
E_tot = -3.860 eV/atom
space group = No. 187
crystal system = hexagonal
V = 214 Å³ per cell